# 1
The following is a PBE calculation of a geometry-optimized CeUP structure, from the Alexandria database.

Structure (POSCAR):
```
CeUP
1.0
-2.4116 -0.2707 -2.8873
-2.4272 -1.8666 2.2023
0.5006 5.0178 1.5749
P U Ce
1 1 1
Direct
0.3271 0.3271 0.6542 P
0.6924 0.6924 0.3847 U
0.9805 0.9805 0.9611 Ce
```

Output
Its crystal system is tetragonal. As for the symmetry: I4mm (107). Its formation energy is -491 meV/atom. As for the total DFT energy (no corrections): -8.035 eV per atom.

=====

# 2
The following is a PBE calculation of a geometry-optimized La2PuIn2Rh5 structure, from the Alexandria database.

Structure (POSCAR):
```
La2PuIn2Rh5
1.0
3.7446 0.0000 0.0000
0.0000 10.5497 0.0000
0.0000 0.0000 10.5497
Rh La Pu In
10 4 2 4
Direct
0.5000 0.3027 0.5587 Rh
0.5000 0.9413 0.1973 Rh
0.5000 0.5000 0.0000 Rh
0.5000 0.6973 0.4413 Rh
0.5000 0.5587 0.6973 Rh
0.5000 0.4413 0.3027 Rh
0.5000 0.0587 0.8027 Rh
0.5000 0.8027 0.9413 Rh
0.5000 0.1973 0.0587 Rh
0.5000 0.0000 0.5000 Rh
0.0000 0.8307 0.6693 La
0.0000 0.3307 0.8307 La
0.0000 0.6693 0.1693 La
0.0000 0.1693 0.3307 La
0.0000 0.5000 0.5000 Pu
0.0000 0.0000 0.0000 Pu
0.0000 0.6283 0.8717 In
0.0000 0.3717 0.1283 In
0.0000 0.1283 0.6283 In
0.0000 0.8717 0.3717 In
```

Output
Its crystal system is tetragonal. As for the symmetry: P4/mbm (127). Its formation energy is -454 meV/atom. As for the total DFT energy (no corrections): -7.096 eV per atom.